# 1
# ZnBPtRh2

ZnBPtRh2 after structural relaxation (PBE, the Alexandria database).

Unit cell a=4.1009 b=4.1009 c=4.1163 alpha=90.00 beta=90.00 gamma=90.00
Positions (direct):
Zn 0.5000 0.5000 0.5000
Pt 0.0000 0.0000 0.5000
Rh 0.5000 0.0000 0.0000
Rh 0.0000 0.5000 0.0000
B 0.0000 0.0000 0.0000

Computed properties:
E_tot ... -6.00 eV/atom
Magnetization ... 0.000 μB per formula unit

# 2
# ZnBPt2Rh

ZnBPt2Rh after structural relaxation (PBE, the Alexandria database).

Unit cell a=4.1575 b=4.1575 c=4.1099 alpha=90.00 beta=90.00 gamma=90.00
Positions (direct):
Rh 0.0000 0.0000 0.5000
B 0.0000 0.0000 0.0000
Zn 0.5000 0.5000 0.5000
Pt 0.0000 0.5000 0.0000
Pt 0.5000 0.0000 0.0000

Computed properties:
E_tot ... -5.77 eV/atom
Magnetization ... 0.000 μB per formula unit

# 3
# Zr2BPt2Rh4

Zr2BPt2Rh4 after structural relaxation (PBE, the Alexandria database).

Unit cell a=5.7472 b=5.7472 c=5.7472 alpha=91.06 beta=119.39 gamma=119.39
Positions (direct):
Rh 0.0000 0.2550 0.7450
Rh 0.4900 0.7450 0.7450
Rh 0.5100 0.2550 0.2550
Rh 0.0000 0.7450 0.2550
Zr 0.5000 0.7500 0.2500
Zr 0.5000 0.2500 0.7500
Pt 0.0000 0.2600 0.2600
Pt 0.0000 0.7400 0.7400
B 0.0000 0.0000 0.0000

Computed properties:
E_tot ... -8.15 eV/atom
Magnetization ... 0.000 μB per formula unit

# 4
# B7RuPt12

B7RuPt12 after structural relaxation (PBE, the Alexandria database).

Unit cell a=7.2586 b=7.2559 c=7.2562 alpha=112.10 beta=112.12 gamma=112.11
Positions (direct):
Pt 0.0616 0.6826 0.2106
Pt 0.2099 0.0613 0.6826
Pt 0.3014 0.7829 0.9507
Pt 0.7828 0.9511 0.3014
Pt 0.4772 0.1648 0.4179
Pt 0.8563 0.6032 0.5406
Pt 0.6825 0.2101 0.0613
Pt 0.9506 0.3017 0.7826
Pt 0.6036 0.5407 0.8567
Pt 0.4177 0.4774 0.1649
Pt 0.1653 0.4181 0.4775
Pt 0.5412 0.8566 0.6036
B 0.8951 0.5759 0.8324
B 0.8313 0.8940 0.5745
B 0.1432 0.0812 0.3803
B 0.0806 0.3797 0.1427
B 0.5750 0.8314 0.8944
B 0.5158 0.5156 0.5158
B 0.3804 0.1434 0.0813
Ru 0.0284 0.0283 0.0284

Computed properties:
E_tot ... -6.55 eV/atom
Magnetization ... 0.000 μB per formula unit

These records have ΔE_f values of -261; -289; -897; -128 meV/atom, in the order they appear.